No. 1
VASP calculation (PBE-GGA) on ZrCr2Co after structural relaxation.

Properties
**ΔH_f (0 K)**: 0.364 eV per atom
**DOS at the Fermi energy**: 11.15 states/eV/cell
**E**: -66.9 eV for the cell shown

The structure in CIF format:
```
data_ZrCr2Co
_cell_length_a 3.735
_cell_length_b 3.755
_cell_length_c 7.918
_cell_angle_alpha 90.00
_cell_angle_beta 90.00
_cell_angle_gamma 90.00
_space_group_name_H-M_alt 'C m m m'
_space_group_IT_number 65
_space_group_name_Hall '-C 2 2'
loop_
_atom_site_label
_atom_site_fract_x
_atom_site_fract_y
_atom_site_fract_z
Zr1 0.000 0.000 0.000
Cr1 0.000 0.500 0.293
Co1 0.000 0.000 0.500
```


No. 2
VASP calculation (PBE-GGA) on ZrCrCo2 after structural relaxation.

Properties
**ΔH_f (0 K)**: 0.443 eV per atom
**DOS at the Fermi energy**: 15.55 states/eV/cell
**E**: -91.8 eV for the cell shown

The structure in CIF format:
```
data_ZrCrCo2
_cell_length_a 2.6939
_cell_length_b 2.6939
_cell_length_c 26.5379
_cell_angle_alpha 90.00
_cell_angle_beta 90.00
_cell_angle_gamma 120.00
_space_group_name_H-M_alt 'R 3 m'
_space_group_IT_number 160
_space_group_name_Hall 'R 3 -2"'
loop_
_atom_site_label
_atom_site_fract_x
_atom_site_fract_y
_atom_site_fract_z
Zr1 0.0000 0.0000 0.0000
Cr1 0.0000 0.0000 0.7638
Co1 0.0000 0.0000 0.2411
Co2 0.0000 0.0000 0.5023
```


No. 3
VASP calculation (PBE-GGA) on Zr2CrCo after structural relaxation.

Properties
**ΔH_f (0 K)**: 0.118 eV per atom
**DOS at the Fermi energy**: 6.13 states/eV/cell
**E**: -33.4 eV for the cell shown

The structure in CIF format:
```
data_Zr2CrCo
_cell_length_a 2.956
_cell_length_b 2.956
_cell_length_c 7.825
_cell_angle_alpha 90.00
_cell_angle_beta 90.00
_cell_angle_gamma 90.00
_space_group_name_H-M_alt 'P 4 m m'
_space_group_IT_number 99
loop_
_space_group_symop_operation_xyz
'x,y,z'
'-y,x,z'
'-x,-y,z'
'y,-x,z'
'-x,y,z'
'y,x,z'
'x,-y,z'
'-y,-x,z'
loop_
_atom_site_label
_atom_site_fract_x
_atom_site_fract_y
_atom_site_fract_z
Zr1 0.000 0.000 0.000
Zr2 0.500 0.500 0.353
Cr1 0.500 0.500 0.750
Co1 0.000 0.000 0.600
```


No. 4
VASP calculation (PBE-GGA) on ZrCrCo2 after structural relaxation.

Properties
**ΔH_f (0 K)**: 0.097 eV per atom
**DOS at the Fermi energy**: 8.51 states/eV/cell
**E**: -64.0 eV for the cell shown

The structure in CIF format:
```
data_ZrCrCo2
_cell_length_a 3.178
_cell_length_b 4.193
_cell_length_c 8.610
_cell_angle_alpha 90.00
_cell_angle_beta 90.00
_cell_angle_gamma 90.00
_space_group_name_H-M_alt 'I m m 2'
_space_group_IT_number 44
loop_
_space_group_symop_operation_xyz
'x,y,z'
'-x,-y,z'
'-x,y,z'
'x,-y,z'
'x+1/2,y+1/2,z+1/2'
'-x+1/2,-y+1/2,z+1/2'
'-x+1/2,y+1/2,z+1/2'
'x+1/2,-y+1/2,z+1/2'
loop_
_atom_site_label
_atom_site_fract_x
_atom_site_fract_y
_atom_site_fract_z
Zr1 0.000 0.000 0.000
Cr1 0.000 0.500 0.234
Co1 0.000 0.000 0.485
Co2 0.000 0.500 0.755
```


No. 5
VASP calculation (PBE-GGA) on ZrCr2Co after structural relaxation.

Properties
**ΔH_f (0 K)**: 0.362 eV per atom
**DOS at the Fermi energy**: 20.37 states/eV/cell
**E**: -133.8 eV for the cell shown

The structure in CIF format:
```
data_ZrCr2Co
_cell_length_a 6.041
_cell_length_b 6.041
_cell_length_c 6.041
_cell_angle_alpha 90.00
_cell_angle_beta 90.00
_cell_angle_gamma 90.00
_space_group_name_H-M_alt 'F m -3 m'
_space_group_IT_number 225
_space_group_name_Hall '-F 4 2 3'
loop_
_atom_site_label
_atom_site_fract_x
_atom_site_fract_y
_atom_site_fract_z
Zr1 0.000 0.000 0.000
Cr1 0.250 0.250 0.250
Co1 0.000 0.000 0.500
```


No. 6
VASP calculation (PBE-GGA) on Zr2CrCo after structural relaxation.

Properties
**ΔH_f (0 K)**: 0.239 eV per atom
**DOS at the Fermi energy**: 24.83 states/eV/cell
**E**: -131.5 eV for the cell shown

The structure in CIF format:
```
data_Zr2CrCo
_cell_length_a 6.459
_cell_length_b 6.459
_cell_length_c 6.459
_cell_angle_alpha 90.00
_cell_angle_beta 90.00
_cell_angle_gamma 90.00
_space_group_name_H-M_alt 'F -4 3 m'
_space_group_IT_number 216
_space_group_name_Hall 'F -4 2 3'
loop_
_atom_site_label
_atom_site_fract_x
_atom_site_fract_y
_atom_site_fract_z
Zr1 0.000 0.000 0.000
Zr2 0.250 0.250 0.250
Cr1 0.250 0.250 0.750
Co1 0.000 0.000 0.500
```


No. 7
VASP calculation (PBE-GGA) on ZrCr2Co after structural relaxation.

Properties
**ΔH_f (0 K)**: 0.089 eV per atom
**DOS at the Fermi energy**: 15.74 states/eV/cell
**E**: -138.2 eV for the cell shown

The structure in CIF format:
```
data_ZrCr2Co
_cell_length_a 6.130
_cell_length_b 6.130
_cell_length_c 6.130
_cell_angle_alpha 90.00
_cell_angle_beta 90.00
_cell_angle_gamma 90.00
_space_group_name_H-M_alt 'F -4 3 m'
_space_group_IT_number 216
_space_group_name_Hall 'F -4 2 3'
loop_
_atom_site_label
_atom_site_fract_x
_atom_site_fract_y
_atom_site_fract_z
Zr1 0.000 0.000 0.000
Cr1 0.000 0.000 0.500
Cr2 0.250 0.250 0.250
Co1 0.250 0.250 0.750
```


No. 8
VASP calculation (PBE-GGA) on ZrCrCo2 after structural relaxation.

Properties
**ΔH_f (0 K)**: 0.184 eV per atom
**DOS at the Fermi energy**: 23.28 states/eV/cell
**E**: -126.6 eV for the cell shown

The structure in CIF format:
```
data_ZrCrCo2
_cell_length_a 6.090
_cell_length_b 6.090
_cell_length_c 6.090
_cell_angle_alpha 90.00
_cell_angle_beta 90.00
_cell_angle_gamma 90.00
_space_group_name_H-M_alt 'F -4 3 m'
_space_group_IT_number 216
_space_group_name_Hall 'F -4 2 3'
loop_
_atom_site_label
_atom_site_fract_x
_atom_site_fract_y
_atom_site_fract_z
Zr1 0.000 0.000 0.000
Cr1 0.250 0.250 0.750
Co1 0.000 0.000 0.500
Co2 0.250 0.250 0.250
```


No. 9
VASP calculation (PBE-GGA) on ZrCr2Co after structural relaxation.

Properties
**ΔH_f (0 K)**: 0.088 eV per atom
**DOS at the Fermi energy**: 3.12 states/eV/cell
**E**: -34.5 eV for the cell shown

The structure in CIF format:
```
data_ZrCr2Co
_cell_length_a 3.039
_cell_length_b 3.039
_cell_length_c 6.143
_cell_angle_alpha 90.00
_cell_angle_beta 90.00
_cell_angle_gamma 90.00
_space_group_name_H-M_alt 'P 4 m m'
_space_group_IT_number 99
loop_
_space_group_symop_operation_xyz
'x,y,z'
'-y,x,z'
'-x,-y,z'
'y,-x,z'
'-x,y,z'
'y,x,z'
'x,-y,z'
'-y,-x,z'
loop_
_atom_site_label
_atom_site_fract_x
_atom_site_fract_y
_atom_site_fract_z
Zr1 0.000 0.000 0.000
Cr1 0.000 0.000 0.502
Cr2 0.500 0.500 0.705
Co1 0.500 0.500 0.265
```


No. 10
VASP calculation (PBE-GGA) on Zr2CrCo after structural relaxation.

Properties
**ΔH_f (0 K)**: -0.041 eV per atom
**DOS at the Fermi energy**: 7.60 states/eV/cell
**E**: -68.0 eV for the cell shown

The structure in CIF format:
```
data_Zr2CrCo
_cell_length_a 3.524
_cell_length_b 3.992
_cell_length_c 9.886
_cell_angle_alpha 90.00
_cell_angle_beta 90.00
_cell_angle_gamma 90.00
_space_group_name_H-M_alt 'A m m 2'
_space_group_IT_number 38
loop_
_space_group_symop_operation_xyz
'x,y,z'
'-x,-y,z'
'-x,y,z'
'x,-y,z'
'x,y+1/2,z+1/2'
'-x,-y+1/2,z+1/2'
'-x,y+1/2,z+1/2'
'x,-y+1/2,z+1/2'
loop_
_atom_site_label
_atom_site_fract_x
_atom_site_fract_y
_atom_site_fract_z
Zr1 0.000 0.000 0.000
Zr2 0.500 0.000 0.301
Cr1 0.500 0.000 0.586
Co1 0.000 0.000 0.721
```


No. 11
VASP calculation (PBE-GGA) on ZrCr2Co after structural relaxation.

Properties
**ΔH_f (0 K)**: 0.235 eV per atom
**DOS at the Fermi energy**: 12.00 states/eV/cell
**E**: -67.9 eV for the cell shown

The structure in CIF format:
```
data_ZrCr2Co
_cell_length_a 9.319
_cell_length_b 2.863
_cell_length_c 4.442
_cell_angle_alpha 90.00
_cell_angle_beta 105.00
_cell_angle_gamma 90.00
_space_group_name_H-M_alt 'C 1 2/m 1'
_space_group_IT_number 12
loop_
_space_group_symop_operation_xyz
'x,y,z'
'-x,-y,-z'
'-x,y,-z'
'x,-y,z'
'x+1/2,y+1/2,z'
'-x+1/2,-y+1/2,-z'
'-x+1/2,y+1/2,-z'
'x+1/2,-y+1/2,z'
loop_
_atom_site_label
_atom_site_fract_x
_atom_site_fract_y
_atom_site_fract_z
Zr1 0.000 0.000 0.000
Cr1 0.229 0.000 0.679
Co1 0.000 0.500 0.500
```


No. 12
VASP calculation (PBE-GGA) on ZrCr2Co after structural relaxation.

Properties
**ΔH_f (0 K)**: 0.362 eV per atom
**DOS at the Fermi energy**: 5.84 states/eV/cell
**E**: -33.5 eV for the cell shown

The structure in CIF format:
```
data_ZrCr2Co
_cell_length_a 4.211
_cell_length_b 4.211
_cell_length_c 3.158
_cell_angle_alpha 90.00
_cell_angle_beta 90.00
_cell_angle_gamma 90.00
_space_group_name_H-M_alt 'P 4/m m m'
_space_group_IT_number 123
_space_group_name_Hall '-P 4 2'
loop_
_atom_site_label
_atom_site_fract_x
_atom_site_fract_y
_atom_site_fract_z
Zr1 0.000 0.000 0.000
Cr1 0.000 0.500 0.500
Co1 0.500 0.500 0.000
```


No. 13
VASP calculation (PBE-GGA) on Zr2CrCo after structural relaxation.

Properties
**ΔH_f (0 K)**: 0.049 eV per atom
**DOS at the Fermi energy**: 8.21 states/eV/cell
**E**: -67.3 eV for the cell shown

The structure in CIF format:
```
data_Zr2CrCo
_cell_length_a 3.075
_cell_length_b 4.438
_cell_length_c 10.080
_cell_angle_alpha 90.00
_cell_angle_beta 90.00
_cell_angle_gamma 90.00
_space_group_name_H-M_alt 'I m m 2'
_space_group_IT_number 44
loop_
_space_group_symop_operation_xyz
'x,y,z'
'-x,-y,z'
'-x,y,z'
'x,-y,z'
'x+1/2,y+1/2,z+1/2'
'-x+1/2,-y+1/2,z+1/2'
'-x+1/2,y+1/2,z+1/2'
'x+1/2,-y+1/2,z+1/2'
loop_
_atom_site_label
_atom_site_fract_x
_atom_site_fract_y
_atom_site_fract_z
Zr1 0.000 0.000 0.000
Zr2 0.000 0.500 0.222
Cr1 0.000 0.500 0.778
Co1 0.000 0.000 0.462
```


No. 14
VASP calculation (PBE-GGA) on ZrCr2Co after structural relaxation.

Properties
**ΔH_f (0 K)**: 0.297 eV per atom
**DOS at the Fermi energy**: 4.44 states/eV/cell
**E**: -33.7 eV for the cell shown

The structure in CIF format:
```
data_ZrCr2Co
_cell_length_a 2.998
_cell_length_b 2.998
_cell_length_c 6.486
_cell_angle_alpha 90.00
_cell_angle_beta 90.00
_cell_angle_gamma 90.00
_space_group_name_H-M_alt 'P 4/m m m'
_space_group_IT_number 123
_space_group_name_Hall '-P 4 2'
loop_
_atom_site_label
_atom_site_fract_x
_atom_site_fract_y
_atom_site_fract_z
Zr1 0.000 0.000 0.000
Cr1 0.500 0.500 0.297
Co1 0.000 0.000 0.500
```


No. 15
VASP calculation (PBE-GGA) on ZrCr2Co after structural relaxation.

Properties
**ΔH_f (0 K)**: 0.201 eV per atom
**DOS at the Fermi energy**: 5.19 states/eV/cell
**E**: -34.1 eV for the cell shown

The structure in CIF format:
```
data_ZrCr2Co
_cell_length_a 2.740
_cell_length_b 3.849
_cell_length_c 5.487
_cell_angle_alpha 90.00
_cell_angle_beta 103.76
_cell_angle_gamma 90.00
_space_group_name_H-M_alt 'P 1 m 1'
_space_group_IT_number 6
loop_
_space_group_symop_operation_xyz
'x,y,z'
'x,-y,z'
loop_
_atom_site_label
_atom_site_fract_x
_atom_site_fract_y
_atom_site_fract_z
Zr1 0.000 0.000 0.000
Cr1 0.282 0.500 0.686
Cr2 0.459 0.000 0.508
Co1 0.700 0.500 0.281
```